# GGA-PBE Ti6PN, relaxed
# Crystal system: trigonal
# Space-group type: R-3
# D(E_F) in states/eV/atom: 0.802
# E_tot in Ry/atom: -0.61212
# Formation energy without anion corrections in eV per atom: -0.69
data_Ti6PN
_space_group_name_H-M_alt 'P 1'
_space_group_IT_number 1
_cell_length_a 5.9922
_cell_length_b 5.9922
_cell_length_c 5.9922
_cell_angle_alpha 52.67
_cell_angle_beta 52.67
_cell_angle_gamma 52.67
loop_
_space_group_symop_operation_xyz
'x,y,z'
loop_
_atom_site_label
_atom_site_fract_x
_atom_site_fract_y
_atom_site_fract_z
_atom_site_occupancy
Ti1 0.0936 0.7356 0.4457 1
Ti2 0.2644 0.5543 0.9064 1
Ti3 0.4457 0.0936 0.7356 1
Ti4 0.5543 0.9064 0.2644 1
Ti5 0.7356 0.4457 0.0936 1
Ti6 0.9064 0.2644 0.5543 1
P1 0.0000 0.0000 0.0000 1
N1 0.5000 0.5000 0.5000 1

=====

# GGA-PBE In2AsPt2, relaxed
# Crystal system: tetragonal
# Space-group type: I4/mmm
# Polymorph energy (0 for the lowest one) in eV per atom: 0.208
# E_form in eV per atom: -0.038
# D(E_F) in states/eV/atom: 0.483
# E_tot in Ry/atom: -0.32922
data_In2AsPt2
_space_group_name_H-M_alt 'P 1'
_space_group_IT_number 1
_cell_length_a 7.5964
_cell_length_b 7.5964
_cell_length_c 7.5964
_cell_angle_alpha 150.73
_cell_angle_beta 150.73
_cell_angle_gamma 41.87
loop_
_space_group_symop_operation_xyz
'x,y,z'
loop_
_atom_site_label
_atom_site_fract_x
_atom_site_fract_y
_atom_site_fract_z
_atom_site_occupancy
In1 0.1064 0.1064 0.0000 1
In2 0.8936 0.8936 0.0000 1
As1 0.5000 0.5000 0.0000 1
Pt1 0.2500 0.7500 0.5000 1
Pt2 0.7500 0.2500 0.5000 1